# 1
An optimized crystal structure of Dy2HgAu3. Source: Alexandria, functional PBE.

```
Dy2HgAu3
1.0
0.000 4.808 8.250
3.371 0.000 8.250
3.371 4.808 0.000
Dy Hg Au
4 2 6
Cartesian
5.081 4.808 8.250
1.686 2.404 4.125
5.057 7.212 12.375
1.661 4.808 8.250
3.371 4.808 5.500
3.371 4.808 11.000
3.371 4.808 2.725
3.371 2.401 6.873
3.371 2.401 9.627
3.371 7.215 6.873
3.371 7.215 9.627
3.371 4.808 13.775
```

Computed properties:
Formation enthalpy at 0 K: -668 meV/atom
Total magnetic moment: 0.00 μB per formula unit
DFT total energy: -46.69 eV for the cell shown

---

# 2
An optimized crystal structure of Dy7Hg2Au2. Source: Alexandria, functional PBE.

```
Dy7Hg2Au2
1.0
3.992 -5.530 0.000
3.992 5.530 0.000
0.000 0.000 7.331
Dy Hg Au
7 2 2
Cartesian
0.000 0.000 0.000
1.996 2.765 1.969
1.996 2.765 5.362
1.996 -2.765 1.969
1.996 -2.765 5.362
3.992 0.000 1.879
3.992 0.000 5.452
1.440 0.000 3.665
6.543 0.000 3.665
3.992 2.281 0.000
3.992 -2.281 0.000
```

Computed properties:
Formation enthalpy at 0 K: -290 meV/atom
Total magnetic moment: 0.00 μB per formula unit
DFT total energy: -42.56 eV for the cell shown

---

# 3
An optimized crystal structure of Dy8HgAu2. Source: Alexandria, functional PBE.

```
Dy8HgAu2
1.0
-2.444 4.102 7.518
2.444 -4.102 7.518
2.444 4.102 -7.518
Dy Hg Au
8 1 2
Cartesian
2.444 2.336 -2.493
0.000 0.000 2.021
0.000 2.577 0.000
2.444 2.336 2.493
0.000 1.766 5.025
0.000 5.626 0.000
0.000 0.000 13.014
0.000 1.766 10.011
2.444 0.000 0.000
2.444 0.000 4.456
0.000 4.102 3.062
```

Computed properties:
Energy relative to the lowest polymorph listed for this composition: 1.30 eV/f.u.
Formation enthalpy at 0 K: -280 meV/atom
Total magnetic moment: 0.00 μB per formula unit
DFT total energy: -46.75 eV for the cell shown

---

# 4
An optimized crystal structure of Dy6Hg3Au. Source: Alexandria, functional PBE.

```
Dy6Hg3Au
1.0
9.593 0.000 0.000
0.000 5.065 0.000
-3.965 0.000 11.008
Dy Hg Au
12 6 2
Cartesian
-1.376 1.266 4.389
0.714 3.799 2.136
2.214 1.266 0.171
1.041 1.266 6.974
0.227 3.799 9.422
2.298 1.266 3.877
3.330 3.799 7.131
5.401 1.266 1.586
4.587 3.799 4.034
3.414 3.799 10.837
4.915 1.266 8.872
7.004 3.799 6.619
-3.138 3.799 9.704
-1.660 1.266 8.094
0.694 3.799 5.253
4.934 1.266 5.755
7.288 3.799 2.914
8.766 1.266 1.304
3.516 3.799 1.361
2.112 1.266 9.646
```

Computed properties:
Formation enthalpy at 0 K: -435 meV/atom
Total magnetic moment: 0.00 μB per formula unit
DFT total energy: -72.29 eV for the cell shown